Density functional theory data (PBE) for an optimized crystal structure of Nd4Al12Cd.

calculated volume = 715 Å³ per cell
electronic total energy = -4.20 eV/atom
magnetization = 0.000 μB per atom
energy of formation from the pure elements = -0.383 eV/atom
Fermi-level density of states = 6.31 states/eV/f.u.

CIF file:
```
data_Nd4Al12Cd
_chemical_formula_sum 'Nd8 Al24 Cd2'
_cell_length_a 8.9404
_cell_length_b 8.9404
_cell_length_c 8.9404
_cell_angle_alpha 90.00
_cell_angle_beta 90.00
_cell_angle_gamma 90.00
_space_group_name_H-M_alt 'I m -3 m'
_space_group_IT_number 229
_space_group_name_Hall '-I 4 2 3'
loop_
_atom_site_label
_atom_site_fract_x
_atom_site_fract_y
_atom_site_fract_z
Nd1 0.2500 0.2500 0.2500
Al1 0.0000 0.0000 0.3167
Al2 0.0000 0.2500 0.5000
Cd1 0.0000 0.0000 0.0000
```